This record from Alexandria describes a relaxed CoPRuCl2 crystal. The functional is PBEsol.

POSCAR file:
```
CoPRuCl2
1.0
-1.837 -1.159 3.831
4.333 -0.563 1.908
-0.012 4.565 1.375
Ru Cl P Co
1 2 1 1
direct
0.000 0.000 0.000
0.000 0.500 0.000
0.000 0.000 0.500
0.500 0.000 0.000
0.500 0.500 0.500
```

Computed properties:
Space group: No. 123
Formation energy without anion corrections, eV per atom: 0.83